The following is a DFT calculation (GGA+U) of a relaxed NpMnAsO6 crystal.

```
data_NpMnAsO6
_chemical_formula_sum 'Np2 Mn2 As2 O12'
_cell_length_a 5.4868
_cell_length_b 5.4868
_cell_length_c 9.1187
_cell_angle_alpha 90.00
_cell_angle_beta 90.00
_cell_angle_gamma 120.00
_symmetry_space_group_name_H-M 'P -3 1 c'
_symmetry_Int_Tables_number 163
_symmetry_space_group_name_Hall '-P 3 2c'
loop_
_atom_site_label
_atom_site_fract_x
_atom_site_fract_y
_atom_site_fract_z
Np1 0.3333 0.6667 0.2500
Mn1 0.0000 0.0000 0.0000
As1 0.3333 0.6667 0.7500
O1 0.0074 0.3525 0.1347
```

Calculated volume ... 237.7 Å³/cell
D(E_F) ... 2.47 states/eV/cell
Raw total energy ... -7.940 eV per atom